[1]
KCo2Ru | PBE-GGA | relaxed

a b c (Å): 4.9172 4.9172 2.5990
angles (deg): 90.00 90.00 90.39
Element x y z (fractional)
1 K 0.0000 0.0000 0.0000
2 Co 0.0000 0.5000 0.5000
3 Co 0.5000 0.0000 0.5000
4 Ru 0.5000 0.5000 0.0000

## Properties
raw total energy: -5.027 eV per atom
calculated formation energy: 1.12 eV per atom
energy above the lowest structure with this stoichiometry: 0.4294 eV per atom



[2]
SrSc2Zn | PBE-GGA | relaxed

a b c (Å): 5.6694 5.6694 5.6694
angles (deg): 130.19 130.19 73.10
Element x y z (fractional)
1 Sr 0.0000 0.0000 0.0000
2 Sc 0.2500 0.7500 0.5000
3 Sc 0.5000 0.5000 0.0000
4 Zn 0.7500 0.2500 0.5000

## Properties
raw total energy: -3.683 eV per atom
calculated formation energy: 0.22 eV per atom



[3]
K2SnB2O6 | PBE-GGA | relaxed

a b c (Å): 5.2546 5.2546 6.7588
angles (deg): 112.77 112.77 59.98
Element x y z (fractional)
1 K 0.2074 0.2074 0.1235
2 K 0.7926 0.7926 0.8765
3 Sn 0.0000 0.0000 0.5000
4 B 0.4000 0.4000 0.6977
5 B 0.6000 0.6000 0.3023
6 O 0.2509 0.2509 0.7074
7 O 0.2520 0.7093 0.7106
8 O 0.2907 0.7480 0.2894
9 O 0.7093 0.2520 0.7106
10 O 0.7480 0.2907 0.2894
11 O 0.7491 0.7491 0.2926

## Properties
formation energy from raw total energies: -2.09 eV/atom
raw total energy: -6.577 eV per atom



[4]
YMgV3 | PBE-GGA | relaxed

a b c (Å): 4.7929 4.7929 4.7929
angles (deg): 90.00 90.00 90.00
Element x y z (fractional)
1 Y 0.0000 0.0000 0.0000
2 Mg 0.5000 0.5000 0.5000
3 V 0.0000 0.5000 0.5000
4 V 0.5000 0.0000 0.5000
5 V 0.5000 0.5000 0.0000

## Properties
raw total energy: -5.699 eV per atom
calculated formation energy: 1.38 eV per atom
energy above the lowest structure with this stoichiometry: 0.0000 eV per atom



DOS(E_F) in states/eV/cell, matching the order above: 3.1, 4.3, 0.0, 10.4